Entry from Alexandria: a relaxed structure of BiOs2CO (GGA-PBE).

Geometry as extended XYZ:
```
5
Lattice="3.8551 0.0000 0.0000 0.0000 3.8551 0.0000 0.0000 0.0000 5.8192" Properties=species:S:1:pos:R:3 pbc="T T T"
Bi 0.0000 0.0000 0.0000
Os 0.0000 1.9276 2.9096
Os 1.9276 0.0000 2.9096
C 1.9276 1.9276 0.0000
O 0.0000 0.0000 2.9096
```

Computed properties:
E_tot in eV per atom: -6.2420
Size of the total moment in Bohr magnetons per cell: 0.00
E_form (uncorrected) in eV/atom: 1.8625